{
  "formula": "Ac2Ga3SnRh4",
  "functional": "GGA-PBE",
  "state": "optimized geometry",
  "cell": [[4.456, 0.000, 0.000], [0.000, 4.456, 0.000], [0.000, 0.000, 10.437]],
  "species": ["Ac", "Ac", "Ga", "Ga", "Ga", "Sn", "Rh", "Rh", "Rh", "Rh"],
  "fractional_positions": [[0.500, 0.000, 0.233], [0.000, 0.500, 0.767], [0.000, 0.000, 0.500], [0.500, 0.000, 0.883], [0.000, 0.500, 0.117], [0.500, 0.500, 0.500], [0.500, 0.500, 0.000], [0.000, 0.000, 0.000], [0.500, 0.000, 0.637], [0.000, 0.500, 0.363]],
  "formation_energy_mev_per_atom": -783
}

***

{
  "formula": "Ta2SiOs",
  "functional": "GGA-PBE",
  "state": "optimized geometry",
  "cell": [[3.169, 0.000, 0.000], [0.000, 3.169, 0.000], [0.000, 0.000, 6.325]],
  "species": ["Os", "Si", "Ta", "Ta"],
  "fractional_positions": [[0.000, 0.000, 0.511], [0.500, 0.500, 0.743], [0.000, 0.000, 0.978], [0.500, 0.500, 0.268]],
  "raw_formation_energy_ev_per_atom": -0.138
}

***

{
  "formula": "Nd2CdC",
  "functional": "GGA-PBE",
  "state": "optimized geometry",
  "cell": [[-1.055, -3.461, 0.648], [3.160, 0.659, -1.759], [3.818, 2.228, 7.697]],
  "species": ["Nd", "Nd", "Cd", "C"],
  "fractional_positions": [[0.777, 0.389, 0.165], [0.222, 0.611, 0.833], [0.669, 0.834, 0.503], [0.999, 0.000, 0.999]],
  "formation_energy_mev_per_atom": -157
}

***

{
  "formula": "Pu5Bi5H2",
  "functional": "GGA-PBE",
  "state": "optimized geometry",
  "cell": [[3.439, 0.000, 0.000], [-1.719, 5.109, -1.169], [0.000, -1.291, 18.270]],
  "species": ["Pu", "Pu", "Pu", "Pu", "Pu", "Bi", "Bi", "Bi", "Bi", "Bi", "H", "H"],
  "fractional_positions": [[0.424, 0.848, 0.307], [0.900, 0.800, 0.802], [0.100, 0.200, 0.198], [0.576, 0.152, 0.693], [0.000, 0.000, 0.000], [0.500, 0.000, 0.500], [0.191, 0.383, 0.389], [0.328, 0.657, 0.104], [0.672, 0.343, 0.896], [0.809, 0.617, 0.611], [0.076, 0.152, 0.760], [0.924, 0.848, 0.240]],
  "final_energy_ev_per_cell": -98.5
}

***

{
  "formula": "KMg2HgF8",
  "functional": "GGA-PBE",
  "state": "optimized geometry",
  "cell": [[-2.322, 1.939, 4.190], [1.923, -3.843, 3.041], [5.362, 3.685, 1.266]],
  "species": ["K", "Mg", "Mg", "Hg", "F", "F", "F", "F", "F", "F", "F", "F"],
  "fractional_positions": [[0.000, 0.000, 0.500], [0.500, 0.500, 0.757], [0.500, 0.500, 0.243], [0.000, 0.000, 0.000], [0.213, 0.767, 0.219], [0.669, 0.680, 0.000], [0.787, 0.233, 0.219], [0.787, 0.233, 0.781], [0.331, 0.320, 0.000], [0.213, 0.767, 0.781], [0.652, 0.665, 0.500], [0.348, 0.335, 0.500]],
  "raw_formation_energy_ev_per_atom": -2.532
}

***

{
  "formula": "Tc2SF",
  "functional": "GGA-PBE",
  "state": "optimized geometry",
  "cell": [[-0.358, -3.062, 4.312], [3.361, -3.469, -2.184], [5.132, -0.965, 2.999]],
  "species": ["S", "S", "Tc", "Tc", "Tc", "Tc", "F", "F"],
  "fractional_positions": [[0.000, 0.000, 0.000], [0.750, 0.250, 0.500], [0.637, 0.125, 0.250], [0.113, 0.625, 0.250], [0.375, 0.363, 0.750], [0.875, 0.887, 0.750], [0.500, 0.500, 0.000], [0.250, 0.750, 0.500]],
  "raw_formation_energy_ev_per_atom": 0.164,
  "e_above_lowest_polymorph_mev_per_atom": 266
}

***

{
  "formula": "PmScZnSb",
  "functional": "GGA-PBE",
  "state": "optimized geometry",
  "cell": [[5.138, 0.000, 0.000], [2.569, 4.450, 0.000], [2.569, 1.483, 4.195]],
  "species": ["Sc", "Sb", "Zn", "Pm"],
  "fractional_positions": [[0.250, 0.250, 0.250], [0.500, 0.500, 0.500], [0.000, 0.000, 0.000], [0.750, 0.750, 0.750]],
  "raw_formation_energy_ev_per_atom": -0.485
}

***

{
  "formula": "Ti3GaN",
  "functional": "GGA-PBE",
  "state": "optimized geometry",
  "cell": [[-3.132, 0.223, 2.578], [0.621, -3.901, 1.092], [5.244, 2.557, 6.150]],
  "species": ["Ti", "Ti", "Ti", "Ti", "Ti", "Ti", "Ga", "Ga", "N", "N"],
  "fractional_positions": [[0.500, 0.250, 0.879], [0.500, 0.750, 0.121], [0.000, 0.750, 0.373], [0.000, 0.250, 0.627], [0.500, 0.250, 0.384], [0.500, 0.750, 0.616], [0.000, 0.250, 0.130], [0.000, 0.750, 0.870], [0.500, 0.750, 0.366], [0.500, 0.250, 0.634]],
  "raw_formation_energy_ev_per_atom": -0.943
}

***

{
  "formula": "La8TcP3Cl4",
  "functional": "GGA-PBE",
  "state": "optimized geometry",
  "cell": [[8.477, 0.000, 0.000], [0.000, 8.597, 0.078], [-4.238, -4.235, 5.997]],
  "species": ["La", "La", "La", "La", "La", "La", "La", "La", "Tc", "P", "P", "P", "Cl", "Cl", "Cl", "Cl"],
  "fractional_positions": [[0.235, 0.718, 0.983], [0.235, 0.718, 0.470], [0.259, 0.277, 0.518], [0.748, 0.718, 0.983], [0.252, 0.282, 0.017], [0.741, 0.723, 0.482], [0.765, 0.282, 0.530], [0.765, 0.282, 0.017], [0.000, 0.500, 0.000], [0.500, 0.500, 0.000], [0.500, 0.500, 0.500], [0.000, 0.500, 0.500], [0.500, 0.000, 0.000], [0.500, 0.000, 0.500], [0.000, 0.000, 0.000], [0.000, 0.000, 0.500]],
  "raw_formation_energy_ev_per_atom": -1.466
}

***

{
  "formula": "In3Os2",
  "functional": "GGA-PBE",
  "state": "optimized geometry",
  "cell": [[0.000, 4.716, 6.974], [2.812, 0.000, 6.974], [2.812, 4.716, 0.000]],
  "species": ["In", "In", "In", "In", "In", "In", "Os", "Os", "Os", "Os"],
  "fractional_positions": [[0.382, 0.414, 0.723], [0.481, 0.723, 0.414], [0.836, 0.868, 0.769], [0.527, 0.769, 0.868], [0.916, 0.084, 0.084], [0.166, 0.334, 0.334], [0.335, 0.577, 0.201], [0.887, 0.201, 0.577], [0.673, 0.915, 0.363], [0.049, 0.363, 0.915]],
  "formation_energy_mev_per_atom": 608
}

***

{
  "formula": "Tb4NdEr2Tm2",
  "functional": "GGA-PBE",
  "state": "optimized geometry",
  "cell": [[3.561, 0.000, 0.000], [-1.781, 8.557, 0.502], [0.000, -2.481, 9.234]],
  "species": ["Tb", "Tb", "Tb", "Tb", "Nd", "Er", "Er", "Tm", "Tm"],
  "fractional_positions": [[0.821, 0.641, 0.755], [0.179, 0.359, 0.245], [0.517, 0.033, 0.328], [0.483, 0.967, 0.672], [0.000, 0.000, 0.000], [0.850, 0.699, 0.406], [0.150, 0.301, 0.594], [0.335, 0.670, 0.078], [0.665, 0.330, 0.922]],
  "formation_energy_mev_per_atom": 27
}

***

{
  "formula": "Tb2CeDy6Ho3",
  "functional": "GGA-PBE",
  "state": "optimized geometry",
  "cell": [[6.132, 0.000, 0.020], [-3.064, 5.311, 0.020], [-1.059, -1.834, 11.544]],
  "species": ["Tb", "Tb", "Ce", "Dy", "Dy", "Dy", "Dy", "Dy", "Dy", "Ho", "Ho", "Ho"],
  "fractional_positions": [[0.333, 0.667, 0.000], [0.667, 0.333, 0.000], [0.000, 0.000, 0.000], [0.916, 0.585, 0.749], [0.752, 0.752, 0.251], [0.084, 0.415, 0.251], [0.585, 0.916, 0.749], [0.248, 0.248, 0.749], [0.415, 0.084, 0.251], [0.167, 0.833, 0.500], [0.833, 0.167, 0.500], [0.500, 0.500, 0.500]],
  "formation_energy_mev_per_atom": 36
}

***

What did the ninth record say?
{
  "formula": "La8TcP3Cl4",
  "functional": "GGA-PBE",
  "state": "optimized geometry",
  "cell": [[8.477, 0.000, 0.000], [0.000, 8.597, 0.078], [-4.238, -4.235, 5.997]],
  "species": ["La", "La", "La", "La", "La", "La", "La", "La", "Tc", "P", "P", "P", "Cl", "Cl", "Cl", "Cl"],
  "fractional_positions": [[0.235, 0.718, 0.983], [0.235, 0.718, 0.470], [0.259, 0.277, 0.518], [0.748, 0.718, 0.983], [0.252, 0.282, 0.017], [0.741, 0.723, 0.482], [0.765, 0.282, 0.530], [0.765, 0.282, 0.017], [0.000, 0.500, 0.000], [0.500, 0.500, 0.000], [0.500, 0.500, 0.500], [0.000, 0.500, 0.500], [0.500, 0.000, 0.000], [0.500, 0.000, 0.500], [0.000, 0.000, 0.000], [0.000, 0.000, 0.500]],
  "raw_formation_energy_ev_per_atom": -1.466
}